Entry 1:
An optimized crystal structure of Be2TcSe, computed with GGA-PBEsol.

Unit cell a=3.163 b=3.830 c=3.830 alpha=90.00 beta=90.00 gamma=90.00
Atoms (fractional coordinates):
Be: 0.000 0.000 0.500
Be: 0.000 0.500 0.000
Tc: 0.500 0.000 0.000
Se: 0.500 0.500 0.500

ρ	6.98	Mg/m³
E	-0.409	Ry per atom
space-group type	P4/mmm


Entry 2:
An optimized crystal structure of Be2TeSe, computed with GGA-PBEsol.

Unit cell a=3.371 b=4.342 c=6.843 alpha=90.00 beta=90.00 gamma=112.84
Atoms (fractional coordinates):
Be: 0.000 0.000 0.725
Be: 0.000 0.000 0.275
Te: 0.500 0.000 0.000
Se: 0.500 0.000 0.500

ρ	4.04	Mg/m³
E	-0.266	Ry per atom
space-group type	Cmmm


Entry 3:
An optimized crystal structure of Be2TeSe, computed with GGA-PBEsol.

Unit cell a=5.375 b=5.375 c=6.577 alpha=114.12 beta=114.12 gamma=90.00
Atoms (fractional coordinates):
Be: 0.403 0.875 0.250
Be: 0.847 0.375 0.250
Be: 0.125 0.153 0.750
Be: 0.625 0.597 0.750
Te: 0.250 0.750 0.500
Te: 0.000 0.000 0.000
Se: 0.750 0.250 0.500
Se: 0.500 0.500 0.000

ρ	4.81	Mg/m³
E	-0.323	Ry per atom
space-group type	I-42d


Entry 4:
An optimized crystal structure of Be4TeSe, computed with GGA-PBEsol.

Unit cell a=4.882 b=4.882 c=4.882 alpha=60.00 beta=60.00 gamma=60.00
Atoms (fractional coordinates):
Be: 0.376 0.376 0.376
Be: 0.376 0.376 0.873
Be: 0.873 0.376 0.376
Be: 0.376 0.873 0.376
Te: 0.000 0.000 0.000
Se: 0.750 0.750 0.750

ρ	4.90	Mg/m³
E	-0.241	Ry per atom
space-group type	F-43m


Entry 5:
An optimized crystal structure of Be2TeSe, computed with GGA-PBEsol.

Unit cell a=3.339 b=5.452 c=5.452 alpha=78.78 beta=72.17 gamma=72.17
Atoms (fractional coordinates):
Be: 0.000 0.281 0.719
Be: 0.000 0.719 0.281
Te: 0.500 0.000 0.000
Se: 0.500 0.500 0.500

ρ	4.17	Mg/m³
E	-0.266	Ry per atom
space-group type	Immm


Entry 6:
An optimized crystal structure of BeTeSe2, computed with GGA-PBEsol.

Unit cell a=3.572 b=4.554 c=5.505 alpha=112.25 beta=90.00 gamma=90.00
Atoms (fractional coordinates):
Be: 0.500 0.310 0.852
Te: 0.000 0.446 0.521
Se: 0.000 0.036 0.888
Se: 0.500 0.709 0.239

ρ	5.90	Mg/m³
E	-0.284	Ry per atom
space-group type	Pm


Entry 7:
An optimized crystal structure of Ti3BeSe, computed with GGA-PBEsol.

Unit cell a=4.304 b=4.304 c=4.304 alpha=90.00 beta=90.00 gamma=90.00
Atoms (fractional coordinates):
Be: 0.000 0.000 0.000
Se: 0.500 0.500 0.500
Ti: 0.000 0.500 0.000
Ti: 0.000 0.000 0.500
Ti: 0.500 0.000 0.000

ρ	4.82	Mg/m³
E	-0.470	Ry per atom
space-group type	Pm-3m


Entry 8:
An optimized crystal structure of TiBeSe2, computed with GGA-PBEsol.

Unit cell a=5.729 b=6.351 c=5.729 alpha=63.19 beta=90.00 gamma=116.81
Atoms (fractional coordinates):
Be: 0.250 0.500 0.250
Be: 0.500 0.000 0.500
Se: 0.577 0.750 0.375
Se: 0.173 0.750 0.875
Se: 0.875 0.250 0.577
Se: 0.375 0.250 0.173
Ti: 0.750 0.500 0.750
Ti: 0.000 0.000 0.000

ρ	4.44	Mg/m³
E	-0.412	Ry per atom
space-group type	I-42d


Entry 9:
An optimized crystal structure of TiBeSe3, computed with GGA-PBEsol.

Unit cell a=4.507 b=4.507 c=4.507 alpha=90.00 beta=90.00 gamma=90.00
Atoms (fractional coordinates):
Be: 0.000 0.000 0.000
Se: 0.000 0.500 0.000
Se: 0.000 0.000 0.500
Se: 0.500 0.000 0.000
Ti: 0.500 0.500 0.500

ρ	5.33	Mg/m³
E	-0.345	Ry per atom
space-group type	Pm-3m


Entry 10:
An optimized crystal structure of BeTlZn2Se, computed with GGA-PBEsol.

Unit cell a=5.026 b=5.026 c=5.464 alpha=90.00 beta=90.00 gamma=90.00
Atoms (fractional coordinates):
Be: 0.500 0.500 0.500
Tl: 0.000 0.000 0.000
Zn: 0.000 0.500 0.000
Zn: 0.500 0.000 0.000
Se: 0.000 0.000 0.500

ρ	5.09	Mg/m³
E	-0.120	Ry per atom
space-group type	P4/mmm


Entry 11:
An optimized crystal structure of BeTl2ZnSe, computed with GGA-PBEsol.

Unit cell a=4.823 b=5.322 c=5.322 alpha=90.00 beta=90.00 gamma=90.00
Atoms (fractional coordinates):
Be: 0.500 0.500 0.500
Tl: 0.000 0.000 0.500
Tl: 0.000 0.500 0.000
Zn: 0.000 0.000 0.000
Se: 0.500 0.000 0.000

ρ	6.83	Mg/m³
E	-0.168	Ry per atom
space-group type	P4/mmm


Entry 12:
An optimized crystal structure of YBe2Se2, computed with GGA-PBEsol.

Unit cell a=4.560 b=5.134 c=4.560 alpha=63.63 beta=90.00 gamma=116.37
Atoms (fractional coordinates):
Y: 0.000 0.000 0.000
Be: 0.638 0.275 0.362
Be: 0.362 0.725 0.638
Se: 0.750 0.500 0.750
Se: 0.250 0.500 0.250

ρ	5.29	Mg/m³
E	-0.369	Ry per atom
space-group type	I4/mmm


Entry 13:
An optimized crystal structure of YBeSe, computed with GGA-PBEsol.

Unit cell a=3.770 b=4.012 c=4.012 alpha=120.00 beta=90.00 gamma=90.00
Atoms (fractional coordinates):
Y: 0.500 0.333 0.667
Be: 0.000 0.000 0.000
Se: 0.000 0.667 0.333

ρ	5.59	Mg/m³
E	-0.405	Ry per atom
space-group type	P-6m2


Entry 14:
An optimized crystal structure of Y2BeSe, computed with GGA-PBEsol.

Unit cell a=4.624 b=5.057 c=4.624 alpha=62.79 beta=90.00 gamma=117.21
Atoms (fractional coordinates):
Y: 0.250 0.500 0.250
Y: 0.750 0.500 0.750
Be: 0.500 0.000 0.500
Se: 0.000 0.000 0.000

ρ	5.35	Mg/m³
E	-0.430	Ry per atom
space-group type	I4/mmm


Entry 15:
An optimized crystal structure of YBeSe2, computed with GGA-PBEsol.

Unit cell a=3.433 b=3.433 c=6.497 alpha=90.00 beta=90.00 gamma=90.00
Atoms (fractional coordinates):
Y: 0.500 0.500 0.000
Be: 0.500 0.500 0.500
Se: 0.000 0.000 0.741
Se: 0.000 0.000 0.259

ρ	5.55	Mg/m³
E	-0.385	Ry per atom
space-group type	P4/mmm